[1]
6
Lattice="6.5497 -1.8653 0.0000 6.5497 1.8653 0.0000 -2.2064 0.0000 7.2762" Properties=species:S:1:pos:R:3 comment="Nd4AlAg | the Alexandria database | PBE | optimized geometry" magmom_total_mub_per_fu=1.2 formation_energy_kj_per_mol_atoms=-16.2 pbc="T T T"
Nd 1.1806 0.0000 2.3330
Nd 0.1206 0.0000 6.0015
Nd 10.7724 0.0000 1.2747
Nd 9.7124 0.0000 4.9431
Al 6.5497 0.0000 0.0000
Ag 5.4465 0.0000 3.6381

=====

[2]
8
Lattice="-2.3173 2.3173 6.8789 2.3173 -2.3173 6.8789 2.3173 2.3173 -6.8789" Properties=species:S:1:pos:R:3 comment="MgAs2H | the Alexandria database | PBE | optimized geometry" magmom_total_mub_per_fu=0.0 energy_ev_per_cell=-26.89 pbc="T T T"
Mg 0.0000 0.0000 0.0000
Mg 0.0000 2.3173 3.4394
As 1.1587 -0.5538 5.1591
As 1.7635 1.1587 1.7197
As 1.1587 2.8711 -1.7197
As 0.5538 1.1587 8.5986
H 2.3173 0.0000 3.4394
H 0.0000 0.0000 6.8789

=====

[3]
4
Lattice="2.2395 -2.6795 0.0000 2.2395 2.6795 0.0000 0.0000 0.0000 7.9582" Properties=species:S:1:pos:R:3 comment="CrHg2Br | the Alexandria database | PBE | optimized geometry" magmom_total_mub_per_fu=4.6 e_form_raw_ev_per_atom=0.222 pbc="T T T"
Cr 0.0000 0.0000 0.0000
Hg 2.2395 0.0000 1.7932
Hg 2.2395 0.0000 6.1650
Br 0.0000 0.0000 3.9791

=====

[4]
6
Lattice="3.0974 0.0000 0.0000 0.0000 3.0974 0.0000 0.0000 0.0000 9.4352" Properties=species:S:1:pos:R:3 comment="Mn2Nb3Os | the Alexandria database | PBE | optimized geometry" magmom_total_mub_per_fu=0.0 formation_energy_kj_per_mol_atoms=-13.3 pbc="T T T"
Mn 0.0000 0.0000 1.5419
Mn 0.0000 0.0000 7.8933
Nb 1.5487 1.5487 0.0000
Nb 1.5487 1.5487 3.0327
Nb 1.5487 1.5487 6.4025
Os 0.0000 0.0000 4.7176

=====

[5]
26
Lattice="6.9871 0.0000 0.0000 -3.4936 6.0510 0.0000 0.0000 0.0000 12.7783" Properties=species:S:1:pos:R:3 comment="Nb4FeSe8 | the Alexandria database | PBE | optimized geometry" magmom_total_mub_per_fu=3.6 e_form_raw_ev_per_atom=-0.805 pbc="T T T"
Nb 0.0000 0.0000 3.1946
Nb 0.0000 0.0000 9.5837
Nb -1.6618 3.0746 3.1946
Nb 1.6618 3.0746 3.1946
Nb 0.0000 5.9529 3.1946
Nb 3.4936 0.0981 9.5837
Nb 1.8317 2.9764 9.5837
Nb 5.1554 2.9764 9.5837
Fe 0.0000 0.0000 0.0000
Fe 0.0000 0.0000 6.3891
Se 0.0000 2.0372 7.9205
Se 0.0000 2.0372 11.2469
Se -1.7293 5.0324 7.9205
Se -1.7293 5.0324 11.2469
Se 0.0000 4.0340 1.4532
Se 0.0000 4.0340 4.9360
Se 1.7642 1.0186 1.5313
Se 1.7642 1.0186 4.8578
Se 1.7293 5.0324 7.9205
Se 1.7293 5.0324 11.2469
Se 3.4936 2.0170 7.8423
Se 3.4936 2.0170 11.3251
Se 5.2229 1.0186 1.5313
Se 5.2229 1.0186 4.8578
Se 3.4936 4.0139 1.5313
Se 3.4936 4.0139 4.8578

=====

[6]
5
Lattice="4.9227 0.0000 0.0000 0.0000 4.9227 0.0000 0.0000 0.0000 5.1323" Properties=species:S:1:pos:R:3 comment="NaCr2SnAu | the Alexandria database | PBE | optimized geometry" magmom_total_mub_per_fu=9.2 formation_energy_kj_per_mol_atoms=139.4 pbc="T T T"
Na 0.0000 0.0000 0.0000
Cr 0.0000 2.4613 0.0000
Cr 2.4613 0.0000 0.0000
Sn 0.0000 0.0000 2.5662
Au 2.4613 2.4613 2.5662

=====

[7]
4
Lattice="3.9236 0.0000 0.0000 0.0000 3.9236 0.0000 0.0000 0.0000 5.2844" Properties=species:S:1:pos:R:3 comment="ScSe2Cl | the Alexandria database | PBE | optimized geometry" magmom_total_mub_per_fu=0.0 e_form_raw_ev_per_atom=-0.732 pbc="T T T"
Sc 0.0000 0.0000 0.0000
Se 0.0000 1.9618 2.6422
Se 1.9618 0.0000 2.6422
Cl 1.9618 1.9618 0.0000

=====

[8]
10
Lattice="5.4357 -1.8906 0.0000 5.4357 1.8906 0.0000 -5.0315 0.0000 10.1521" Properties=species:S:1:pos:R:3 comment="Tb2Zn2Co | the Alexandria database | PBE | optimized geometry" magmom_total_mub_per_fu=0.0 formation_energy_kj_per_mol_atoms=-27.2 pbc="T T T"
Tb -1.0526 0.0000 3.6215
Tb 1.6587 0.0000 1.2246
Tb 4.1812 0.0000 8.9276
Tb 6.8925 0.0000 6.5307
Zn 1.9658 0.0000 4.2061
Zn 4.7341 0.0000 1.1729
Zn 1.1057 0.0000 8.9793
Zn 3.8741 0.0000 5.9460
Co -0.4879 0.0000 7.0403
Co 6.3278 0.0000 3.1118